An optimized crystal structure of KLiTl. Source: Alexandria via LeMat-Bulk, functional GGA-PBE.

Cell lengths 5.6372, 5.6372, 5.6372 Å; angles 60.00, 60.00, 60.00 degrees
Last column: nearest neighbours and their distance in Å.
Atoms (fractional coordinates):
K 0.0000 0.0000 0.0000  4 Tl 3.45, 4 Li 3.45
Li 0.7500 0.7500 0.7500  4 K 3.45
Tl 0.2500 0.2500 0.2500  4 K 3.45

Properties
SG: F-43m (216)
energy above the lowest structure with this stoichiometry: 9.31 kcal/mol of atoms
energy of formation from the pure elements: 94 kJ/mol of formula units

---

An optimized crystal structure of K2LiTl7. Source: Alexandria via LeMat-Bulk, functional GGA-PBE.

Cell lengths 7.9956, 7.9956, 7.9956 Å; angles 60.00, 60.00, 60.00 degrees
Last column: nearest neighbours and their distance in Å.
Atoms (fractional coordinates):
K 0.2500 0.2500 0.2500  12 Tl 4.00
K 0.7500 0.7500 0.7500  12 Tl 4.00
Li 0.0000 0.0000 0.0000  6 Tl 2.64
Tl 0.2334 0.2334 0.7666  1 Li 2.64
Tl 0.2334 0.7666 0.2334  1 Li 2.64
Tl 0.2334 0.7666 0.7666  1 Li 2.64
Tl 0.5000 0.5000 0.5000  6 Tl 3.01
Tl 0.7666 0.2334 0.2334  1 Li 2.64
Tl 0.7666 0.2334 0.7666  1 Li 2.64
Tl 0.7666 0.7666 0.2334  1 Li 2.64

Properties
SG: Fm-3m (225)
energy of formation from the pure elements: 36 kJ/mol of formula units

---

An optimized crystal structure of KLiTl5. Source: Alexandria via LeMat-Bulk, functional GGA-PBE.

Cell lengths 4.6327, 4.6327, 10.7481 Å; angles 90.00, 90.00, 90.00 degrees
Last column: nearest neighbours and their distance in Å.
Atoms (fractional coordinates):
K 0.0000 0.0000 0.0000  8 Tl 3.75
Li 0.5000 0.5000 0.5000  12 Tl 3.28-3.35
Tl 0.0000 0.0000 0.5000  4 Li 3.28, 8 Tl 3.35
Tl 0.0000 0.5000 0.2747  6 Tl 3.28-3.35, 2 Li 3.35
Tl 0.0000 0.5000 0.7253  6 Tl 3.28-3.35, 2 Li 3.35
Tl 0.5000 0.0000 0.2747  6 Tl 3.28-3.35, 2 Li 3.35
Tl 0.5000 0.0000 0.7253  6 Tl 3.28-3.35, 2 Li 3.35

Properties
SG: P4/mmm (123)
energy above the lowest structure with this stoichiometry: 0.00 kcal/mol of atoms
energy of formation from the pure elements: -47 kJ/mol of formula units

---

An optimized crystal structure of KLiTl. Source: Alexandria via LeMat-Bulk, functional GGA-PBE.

Cell lengths 4.4215, 4.4215, 11.9967 Å; angles 99.85, 99.85, 71.99 degrees
Last column: nearest neighbours and their distance in Å.
Atoms (fractional coordinates):
K 0.1876 0.1876 0.3360  3 Tl 3.59, 1 Li 3.80
K 0.8124 0.8124 0.6640  3 Tl 3.59, 1 Li 3.80
Li 0.1563 0.1563 0.9524  3 Li 2.72-3.03, 4 Tl 2.89-2.94
Li 0.8437 0.8437 0.0476  3 Li 2.72-3.03, 4 Tl 2.89-2.94
Tl 0.4994 0.4994 0.1378  4 Li 2.89-2.94
Tl 0.5006 0.5006 0.8622  4 Li 2.89-2.94

Properties
SG: C2/m (12)
energy above the lowest structure with this stoichiometry: 0.14 kcal/mol of atoms
energy of formation from the pure elements: -21 kJ/mol of formula units

---

An optimized crystal structure of K2LiTl. Source: Alexandria via LeMat-Bulk, functional GGA-PBE.

Cell lengths 4.4208, 4.8715, 7.5512 Å; angles 90.00, 90.00, 90.00 degrees
Last column: nearest neighbours and their distance in Å.
Atoms (fractional coordinates):
K 0.0000 0.0000 0.2418  2 K 3.65-3.90, 4 Tl 3.76, 4 Li 3.82
K 0.0000 0.0000 0.7582  2 K 3.65-3.90, 4 Tl 3.76, 4 Li 3.82
Li 0.5000 0.5000 0.5000  2 Tl 3.78, 8 K 3.82
Tl 0.5000 0.5000 0.0000  8 K 3.76, 2 Li 3.78

Properties
SG: Pmmm (47)
energy above the lowest structure with this stoichiometry: 2.86 kcal/mol of atoms
energy of formation from the pure elements: 30 kJ/mol of formula units

---

An optimized crystal structure of K2LiTl2. Source: Alexandria via LeMat-Bulk, functional GGA-PBE.

Cell lengths 10.7674, 10.7674, 10.7674 Å; angles 26.80, 26.80, 26.80 degrees
Last column: nearest neighbours and their distance in Å.
Atoms (fractional coordinates):
K 0.0703 0.0703 0.0703  4 Tl 3.67-3.70
K 0.9297 0.9297 0.9297  4 Tl 3.67-3.70
Li 0.5000 0.5000 0.5000  6 Tl 2.96
Tl 0.1882 0.1882 0.1882  3 Li 2.96, 3 Tl 3.18
Tl 0.8118 0.8118 0.8118  3 Li 2.96, 3 Tl 3.18

Properties
SG: R-3m (166)
energy above the lowest structure with this stoichiometry: 0.00 kcal/mol of atoms
energy of formation from the pure elements: -47 kJ/mol of formula units

---

An optimized crystal structure of K2LiTl2. Source: Alexandria via LeMat-Bulk, functional GGA-PBE.

Cell lengths 7.7479, 7.7479, 6.1056 Å; angles 90.00, 90.00, 90.00 degrees
Last column: nearest neighbours and their distance in Å.
Atoms (fractional coordinates):
K 0.1773 0.3227 0.0000  6 Tl 3.65-3.93, 5 K 3.89-4.03
K 0.3227 0.8227 0.0000  6 Tl 3.65-3.93, 5 K 3.89-4.03
K 0.6773 0.1773 0.0000  6 Tl 3.65-3.93, 5 K 3.89-4.03
K 0.8227 0.6773 0.0000  6 Tl 3.65-3.93, 5 K 3.89-4.03
Li 0.0000 0.0000 0.5000  4 Tl 2.99
Li 0.5000 0.5000 0.5000  4 Tl 2.99
Tl 0.1409 0.6409 0.5000  2 Li 2.99, 1 Tl 3.09
Tl 0.3591 0.1409 0.5000  2 Li 2.99, 1 Tl 3.09
Tl 0.6409 0.8591 0.5000  2 Li 2.99, 1 Tl 3.09
Tl 0.8591 0.3591 0.5000  2 Li 2.99, 1 Tl 3.09

Properties
SG: P4/mbm (127)
energy above the lowest structure with this stoichiometry: 1.60 kcal/mol of atoms
energy of formation from the pure elements: -14 kJ/mol of formula units

---

An optimized crystal structure of K2LiTl. Source: Alexandria via LeMat-Bulk, functional GGA-PBE.

Cell lengths 5.9835, 5.9835, 5.9835 Å; angles 60.00, 60.00, 60.00 degrees
Last column: nearest neighbours and their distance in Å.
Atoms (fractional coordinates):
K 0.0000 0.0000 0.0000  4 Tl 3.66, 4 K 3.66
K 0.2500 0.2500 0.2500  4 Li 3.66, 4 K 3.66
Li 0.5000 0.5000 0.5000  4 Tl 3.66, 4 K 3.66
Tl 0.7500 0.7500 0.7500  4 K 3.66, 4 Li 3.66

Properties
SG: F-43m (216)
energy above the lowest structure with this stoichiometry: 2.20 kcal/mol of atoms
energy of formation from the pure elements: 19 kJ/mol of formula units